{"formula": "Ca3MnI", "functional": "PBE", "state": "optimized geometry", "e_form_raw_ev_per_atom": 0.32, "total_magnetization_mub_per_fu": 0.00, "polymorph_energy_mev_per_atom": 0, "e_tot_ha_per_atom": -0.11125, "cell": [[5.450, 0.000, 0.000], [0.000, 5.450, 0.000], [0.000, 0.000, 5.450]], "species": ["Ca", "Ca", "Ca", "Mn", "I"], "frac_coords": [[0.000, 0.000, 0.500], [0.000, 0.500, 0.000], [0.500, 0.000, 0.000], [0.000, 0.000, 0.000], [0.500, 0.500, 0.500]]}